Entry from Alexandria via LeMat-Bulk: NbTlMo3 after structural relaxation (GGA-PBE).

- ΔE_f: 8.771 eV per formula unit
- Polymorph energy (0 for the lowest one): 0.00 eV/f.u.
- Uncorrected energy: -7.2317 eV/atom
- D(E_F): 6.6 states/eV/f.u.
- Space group: Pm-3m, No. 221

a = 4.801 Å, b = 4.801 Å, c = 4.801 Å
α = 90.00°, β = 90.00°, γ = 90.00°
Fractional coordinates of all 5 atoms:
Nb 0.000 0.000 0.000
Tl 0.500 0.500 0.500
Mo 0.000 0.000 0.500
Mo 0.000 0.500 0.000
Mo 0.500 0.000 0.000

=====

Entry from Alexandria via LeMat-Bulk: Nb2TlMo2 after structural relaxation (GGA-PBE).

- ΔE_f: 2.939 eV per formula unit
- Polymorph energy (0 for the lowest one): 0.00 eV/f.u.
- Uncorrected energy: -8.2459 eV/atom
- D(E_F): 5.3 states/eV/f.u.
- Space group: P4/mbm, No. 127

a = 7.762 Å, b = 7.762 Å, c = 3.184 Å
α = 90.00°, β = 90.00°, γ = 90.00°
Fractional coordinates of all 10 atoms:
Nb 0.142 0.358 0.000
Nb 0.358 0.858 0.000
Nb 0.642 0.142 0.000
Nb 0.858 0.642 0.000
Tl 0.000 0.000 0.000
Tl 0.500 0.500 0.000
Mo 0.149 0.649 0.500
Mo 0.351 0.149 0.500
Mo 0.649 0.851 0.500
Mo 0.851 0.351 0.500

=====

Entry from Alexandria via LeMat-Bulk: NbTl3Mo after structural relaxation (GGA-PBE).

- ΔE_f: 6.928 eV per formula unit
- Polymorph energy (0 for the lowest one): 0.00 eV/f.u.
- Uncorrected energy: -4.2143 eV/atom
- D(E_F): 3.6 states/eV/f.u.
- Space group: Pm-3m, No. 221

a = 5.338 Å, b = 5.338 Å, c = 5.338 Å
α = 90.00°, β = 90.00°, γ = 90.00°
Fractional coordinates of all 5 atoms:
Nb 0.000 0.000 0.000
Tl 0.000 0.500 0.500
Tl 0.500 0.000 0.500
Tl 0.500 0.500 0.000
Mo 0.500 0.500 0.500

=====

Entry from Alexandria via LeMat-Bulk: NbTlMo3 after structural relaxation (GGA-PBE).

- ΔE_f: 13.442 eV per formula unit
- Polymorph energy (0 for the lowest one): 4.67 eV/f.u.
- Uncorrected energy: -6.2975 eV/atom
- D(E_F): 10.6 states/eV/f.u.
- Space group: Pm-3m, No. 221

a = 4.895 Å, b = 4.895 Å, c = 4.895 Å
α = 90.00°, β = 90.00°, γ = 90.00°
Fractional coordinates of all 5 atoms:
Nb 0.000 0.000 0.000
Tl 0.500 0.500 0.500
Mo 0.000 0.500 0.500
Mo 0.500 0.000 0.500
Mo 0.500 0.500 0.000

=====

Entry from Alexandria via LeMat-Bulk: NbTlMo2 after structural relaxation (GGA-PBE).

- ΔE_f: 2.087 eV per formula unit
- Polymorph energy (0 for the lowest one): 0.00 eV/f.u.
- Uncorrected energy: -8.0028 eV/atom
- D(E_F): 5.4 states/eV/f.u.
- Space group: Fm-3m, No. 225

a = 6.594 Å, b = 6.594 Å, c = 6.594 Å
α = 90.00°, β = 90.00°, γ = 90.00°
Fractional coordinates of all 16 atoms:
Nb 0.000 0.000 0.000
Nb 0.000 0.500 0.500
Nb 0.500 0.000 0.500
Nb 0.500 0.500 0.000
Tl 0.000 0.000 0.500
Tl 0.000 0.500 0.000
Tl 0.500 0.000 0.000
Tl 0.500 0.500 0.500
Mo 0.250 0.250 0.250
Mo 0.250 0.250 0.750
Mo 0.250 0.750 0.250
Mo 0.250 0.750 0.750
Mo 0.750 0.250 0.250
Mo 0.750 0.250 0.750
Mo 0.750 0.750 0.250
Mo 0.750 0.750 0.750

=====

Entry from Alexandria via LeMat-Bulk: ZrNbTlMo2 after structural relaxation (GGA-PBE).

- ΔE_f: 6.786 eV per formula unit
- Uncorrected energy: -7.1721 eV/atom
- D(E_F): 5.2 states/eV/f.u.
- Space group: P4/mmm, No. 123

a = 4.801 Å, b = 4.801 Å, c = 5.145 Å
α = 90.00°, β = 90.00°, γ = 90.00°
Fractional coordinates of all 5 atoms:
Zr 0.000 0.000 0.000
Nb 0.000 0.000 0.500
Tl 0.500 0.500 0.000
Mo 0.000 0.500 0.500
Mo 0.500 0.000 0.500

=====

Entry from Alexandria via LeMat-Bulk: TmNbMo4 after structural relaxation (GGA-PBE).

- ΔE_f: 0.159 eV per formula unit
- Uncorrected energy: -9.6178 eV/atom
- D(E_F): 4.4 states/eV/f.u.
- Space group: F-43m, No. 216

a = 5.374 Å, b = 5.374 Å, c = 5.374 Å
α = 60.00°, β = 60.00°, γ = 60.00°
Fractional coordinates of all 6 atoms:
Tm 0.000 0.000 0.000
Nb 0.250 0.250 0.250
Mo 0.126 0.625 0.625
Mo 0.625 0.126 0.625
Mo 0.625 0.625 0.126
Mo 0.625 0.625 0.625

=====

Entry from Alexandria via LeMat-Bulk: TmNbMo2 after structural relaxation (GGA-PBE).

- ΔE_f: 0.982 eV per formula unit
- Uncorrected energy: -8.8054 eV/atom
- D(E_F): 5.8 states/eV/f.u.
- Space group: Fm-3m, No. 225

a = 6.645 Å, b = 6.645 Å, c = 6.645 Å
α = 90.00°, β = 90.00°, γ = 90.00°
Fractional coordinates of all 16 atoms:
Tm 0.000 0.000 0.000
Tm 0.000 0.500 0.500
Tm 0.500 0.000 0.500
Tm 0.500 0.500 0.000
Nb 0.000 0.000 0.500
Nb 0.000 0.500 0.000
Nb 0.500 0.000 0.000
Nb 0.500 0.500 0.500
Mo 0.250 0.250 0.250
Mo 0.250 0.250 0.750
Mo 0.250 0.750 0.250
Mo 0.250 0.750 0.750
Mo 0.750 0.250 0.250
Mo 0.750 0.250 0.750
Mo 0.750 0.750 0.250
Mo 0.750 0.750 0.750

=====

Entry from Alexandria via LeMat-Bulk: UNbMo after structural relaxation (GGA-PBE).

- ΔE_f: 0.752 eV per formula unit
- Polymorph energy (0 for the lowest one): 0.24 eV/f.u.
- Uncorrected energy: -10.4791 eV/atom
- D(E_F): 5.5 states/eV/f.u.
- Space group: I4mm, No. 107

a = 3.405 Å, b = 3.405 Å, c = 9.651 Å
α = 90.00°, β = 90.00°, γ = 90.00°
Fractional coordinates of all 6 atoms:
U 0.000 0.000 0.000
U 0.500 0.500 0.500
Nb 0.000 0.000 0.329
Nb 0.500 0.500 0.829
Mo 0.000 0.000 0.650
Mo 0.500 0.500 0.150

=====

Entry from Alexandria via LeMat-Bulk: UNb2Mo after structural relaxation (GGA-PBE).

- ΔE_f: 0.705 eV per formula unit
- Polymorph energy (0 for the lowest one): 0.17 eV/f.u.
- Uncorrected energy: -10.3884 eV/atom
- D(E_F): 5.8 states/eV/f.u.
- Space group: P4/mmm, No. 123

a = 3.337 Å, b = 3.337 Å, c = 6.592 Å
α = 90.00°, β = 90.00°, γ = 90.00°
Fractional coordinates of all 4 atoms:
U 0.000 0.000 0.000
Nb 0.500 0.500 0.257
Nb 0.500 0.500 0.743
Mo 0.000 0.000 0.500

=====

Entry from Alexandria via LeMat-Bulk: UNbMo after structural relaxation (GGA-PBE).

- ΔE_f: 0.510 eV per formula unit
- Polymorph energy (0 for the lowest one): 0.00 eV/f.u.
- Uncorrected energy: -10.5596 eV/atom
- D(E_F): 5.1 states/eV/f.u.
- Space group: P3m1, No. 156

a = 4.634 Å, b = 4.634 Å, c = 2.937 Å
α = 90.00°, β = 90.00°, γ = 120.00°
Fractional coordinates of all 3 atoms:
U 0.000 0.000 0.000
Nb 0.667 0.333 0.698
Mo 0.333 0.667 0.283

=====

Entry from Alexandria via LeMat-Bulk: UNbMo after structural relaxation (GGA-PBE).

- ΔE_f: 1.384 eV per formula unit
- Polymorph energy (0 for the lowest one): 0.87 eV/f.u.
- Uncorrected energy: -10.2684 eV/atom
- D(E_F): 5.2 states/eV/f.u.
- Space group: I4/mmm, No. 139

a = 3.355 Å, b = 3.355 Å, c = 20.765 Å
α = 90.00°, β = 90.00°, γ = 90.00°
Fractional coordinates of all 12 atoms:
U 0.000 0.000 0.218
U 0.000 0.000 0.782
U 0.500 0.500 0.282
U 0.500 0.500 0.718
Nb 0.000 0.000 0.378
Nb 0.000 0.000 0.622
Nb 0.500 0.500 0.122
Nb 0.500 0.500 0.878
Mo 0.000 0.000 0.058
Mo 0.000 0.000 0.942
Mo 0.500 0.500 0.442
Mo 0.500 0.500 0.558